The following is a PBEsol calculation of crystalline Ta2MnSb at its relaxed geometry, from Alexandria.

Structure (POSCAR):
```
Ta2MnSb
1.0
-1.7157 -2.5789 -1.4413
1.2193 -2.7084 3.3948
-3.3164 3.7889 1.2173
Mn Sb Ta
1 1 2
direct
0.4944 0.4944 0.9887
0.2327 0.7327 0.4655
0.0047 0.0047 0.0094
0.7682 0.2682 0.5364
```

Properties
Space-group type   Imm2 (44)
ΔE_f (raw)   84 meV per atom

***

The following is a PBEsol calculation of crystalline TaMnSb at its relaxed geometry, from Alexandria.

Structure (POSCAR):
```
TaMnSb
1.0
-0.4066 -0.6730 -2.9863
2.6010 -1.6644 0.0209
-3.7287 -2.9275 2.7640
Mn Sb Ta
1 1 1
direct
0.9992 0.9992 0.9983
0.6505 0.6505 0.3009
0.3504 0.3504 0.7007
```

Properties
Space-group type   I4mm (107)
ΔE_f (raw)   215 meV per atom

***

The following is a PBEsol calculation of crystalline Ta2MnSb at its relaxed geometry, from Alexandria.

Structure (POSCAR):
```
Ta2MnSb
1.0
3.2086 0.0000 -0.1295
0.0000 4.0332 0.0000
-1.3921 0.0000 5.3239
Mn Sb Ta
1 1 2
direct
0.2844 0.0000 0.4443
0.4400 0.5000 0.7547
0.0642 0.0000 0.0032
0.7114 0.5000 0.2979
```

Properties
Space-group type   Amm2 (38)
ΔE_f (raw)   136 meV per atom

***

Number 1: total moment 1.82 μB per formula unit, E -39.09 eV for the cell shown. Number 2: total moment 0.00 μB per formula unit, E -26.22 eV for the cell shown. Number 3: total moment 0.00 μB per formula unit, E -38.88 eV for the cell shown.